--- A ---
This record from Alexandria describes a geometry-optimized Ho2SnHg2 structure. The functional is PBE.

Cell lengths 8.077, 8.077, 6.128 Å; angles 43.05, 43.05, 31.97 degrees
Positions (direct):
Hg  0.395  0.395  0.529
Hg  0.605  0.605  0.471
Ho  0.305  0.305  0.178
Ho  0.695  0.695  0.822
Sn  0.000  0.000  0.000

The volume is 137.5 Å³/cell.

***

--- B ---
This record from Alexandria describes a geometry-optimized Ho2SnHg2 structure. The functional is PBE.

Cell lengths 4.522, 6.127, 10.372 Å; angles 91.03, 77.41, 68.34 degrees
Positions (direct):
Hg  0.340  0.212  0.107
Hg  0.096  0.264  0.543
Hg  0.660  0.788  0.893
Hg  0.904  0.736  0.457
Ho  0.917  0.261  0.905
Ho  0.322  0.679  0.676
Ho  0.678  0.321  0.324
Ho  0.083  0.739  0.095
Sn  0.404  0.883  0.309
Sn  0.596  0.117  0.691

The volume is 259.1 Å³/cell.

***

The structure with the most favorable energy is B; the runner-up is 33 meV per atom above it.

***

--- A ---
This record from Alexandria describes a geometry-optimized TbHoSnHg structure. The functional is PBE.

Cell lengths 5.283, 5.283, 5.283 Å; angles 60.00, 60.00, 60.00 degrees
Positions (direct):
Tb  0.000  0.000  0.000
Ho  0.500  0.500  0.500
Hg  0.750  0.750  0.750
Sn  0.250  0.250  0.250

The volume is 104.2 Å³/cell.

***

--- B ---
This record from Alexandria describes a geometry-optimized TbHoSnHg structure. The functional is PBE.

Cell lengths 3.793, 3.793, 7.301 Å; angles 90.00, 90.00, 90.00 degrees
Positions (direct):
Hg  0.000  0.000  0.353
Tb  0.500  0.500  0.604
Sn  0.000  0.000  0.860
Ho  0.500  0.500  0.111

The volume is 105.1 Å³/cell.

***

The structure with the most favorable energy is A; the runner-up is 6 meV per atom above it.

***

--- A ---
This record from Alexandria describes a geometry-optimized SrHo2Hg structure. The functional is PBE.

Cell lengths 3.714, 3.714, 11.794 Å; angles 80.94, 80.94, 60.00 degrees
Positions (direct):
Ho  0.102  0.102  0.694
Ho  0.898  0.898  0.306
Sr  0.000  0.000  0.000
Hg  0.500  0.500  0.500

The volume is 138.5 Å³/cell.

***

--- B ---
This record from Alexandria describes a geometry-optimized SrHo2Hg structure. The functional is PBE.

Cell lengths 3.766, 3.766, 9.453 Å; angles 90.00, 90.00, 90.00 degrees
Positions (direct):
Ho  0.000  0.000  0.184
Ho  0.000  0.000  0.816
Hg  0.500  0.500  0.000
Sr  0.500  0.500  0.500

The volume is 134.1 Å³/cell.

***

The structure with the most favorable energy is B; the runner-up is 185 meV per atom above it.

***

--- A ---
This record from Alexandria describes a geometry-optimized Sr2HoHg structure. The functional is PBE.

Cell lengths 3.845, 3.845, 12.320 Å; angles 81.02, 81.02, 60.00 degrees
Last column: magnetic moment on the atom in μB.
Positions (direct):
Sr  0.902  0.902  0.295  0.01
Sr  0.098  0.098  0.705  0.01
Hg  0.500  0.500  0.500  0.00
Ho  0.000  0.000  0.000  0.28

The volume is 155.1 Å³/cell.

***

--- B ---
This record from Alexandria describes a geometry-optimized Sr2HoHg structure. The functional is PBE.

Cell lengths 3.848, 3.848, 9.915 Å; angles 90.00, 90.00, 90.00 degrees
Last column: magnetic moment on the atom in μB.
Positions (direct):
Hg  0.500  0.500  0.000  0.00
Ho  0.500  0.500  0.500  0.33
Sr  0.000  0.000  0.789  0.02
Sr  0.000  0.000  0.211  0.02

The volume is 146.8 Å³/cell.

***

The structure with the most favorable energy is B; the runner-up is 237 meV per atom above it.

***

--- A ---
This record from Alexandria describes a geometry-optimized TbHo2Hg2 structure. The functional is PBE.

Cell lengths 5.140, 5.140, 6.353 Å; angles 90.00, 90.00, 120.00 degrees
Positions (direct):
Hg  0.667  0.333  0.823
Hg  0.333  0.667  0.177
Ho  0.333  0.667  0.659
Ho  0.667  0.333  0.341
Tb  0.000  0.000  0.000

The volume is 145.3 Å³/cell.

***

--- B ---
This record from Alexandria describes a geometry-optimized TbHo2Hg2 structure. The functional is PBE.

Cell lengths 3.731, 5.292, 13.710 Å; angles 90.00, 97.86, 90.00 degrees
Positions (direct):
Hg  0.644  0.750  0.288
Hg  0.453  0.750  0.905
Hg  0.547  0.250  0.095
Hg  0.356  0.250  0.712
Ho  0.047  0.750  0.095
Ho  0.953  0.250  0.905
Ho  0.765  0.250  0.529
Ho  0.235  0.750  0.471
Tb  0.853  0.750  0.707
Tb  0.147  0.250  0.293

The volume is 268.2 Å³/cell.

***

The structure with the most favorable energy is B; the runner-up is 149 meV per atom above it.

***

--- A ---
This record from Alexandria describes a geometry-optimized TbHoHg structure. The functional is PBE.

Cell lengths 3.614, 3.614, 6.907 Å; angles 105.17, 105.17, 90.00 degrees
Last column: magnetic moment on the atom in μB.
Positions (direct):
Hg  0.669  0.669  0.337  0.01
Tb  0.012  0.012  0.023  0.34
Ho  0.320  0.320  0.639  0.35

The volume is 83.8 Å³/cell.

***

--- B ---
This record from Alexandria describes a geometry-optimized TbHoHg structure. The functional is PBE.

Cell lengths 3.725, 8.786, 15.436 Å; angles 91.44, 90.00, 90.00 degrees
Positions (direct):
Ho  0.250  0.971  0.097
Ho  0.750  0.029  0.903
Ho  0.750  0.144  0.551
Ho  0.250  0.856  0.449
Ho  0.750  0.643  0.786
Ho  0.250  0.357  0.214
Hg  0.750  0.257  0.062
Hg  0.750  0.281  0.745
Hg  0.250  0.743  0.938
Hg  0.250  0.719  0.255
Hg  0.250  0.238  0.404
Hg  0.750  0.762  0.596
Tb  0.250  0.978  0.714
Tb  0.750  0.627  0.089
Tb  0.750  0.526  0.392
Tb  0.250  0.373  0.911
Tb  0.250  0.474  0.608
Tb  0.750  0.022  0.286

The volume is 505.0 Å³/cell.

***

The structure with the most favorable energy is A; the runner-up is 17 meV per atom above it.

***

--- A ---
This record from Alexandria describes a geometry-optimized TbHoHg structure. The functional is PBE.

Cell lengths 5.096, 5.096, 5.096 Å; angles 60.00, 60.00, 60.00 degrees
Positions (direct):
Hg  0.250  0.250  0.250
Tb  0.000  0.000  0.000
Ho  0.500  0.500  0.500

The volume is 93.6 Å³/cell.

***

--- B ---
This record from Alexandria describes a geometry-optimized TbHoHg structure. The functional is PBE.

Cell lengths 3.707, 5.131, 5.131 Å; angles 120.00, 90.00, 90.00 degrees
Positions (direct):
Tb  0.614  0.667  0.333
Ho  0.080  0.000  0.000
Hg  0.306  0.333  0.667

The volume is 84.5 Å³/cell.

***

--- C ---
This record from Alexandria describes a geometry-optimized TbHoHg structure. The functional is PBE.

Cell lengths 5.093, 9.221, 7.102 Å; angles 90.00, 90.00, 90.00 degrees
Positions (direct):
Hg  0.250  0.101  0.260
Hg  0.750  0.899  0.740
Hg  0.750  0.601  0.240
Hg  0.250  0.399  0.760
Ho  0.750  0.925  0.168
Ho  0.250  0.075  0.832
Ho  0.750  0.575  0.668
Ho  0.250  0.425  0.332
Tb  0.750  0.193  0.515
Tb  0.250  0.693  0.985
Tb  0.250  0.807  0.485
Tb  0.750  0.307  0.015

The volume is 333.5 Å³/cell.

***

The structure with the most favorable energy is C; the runner-up is 178 meV per atom above it.

***

--- A ---
This record from Alexandria describes a geometry-optimized Tb8Ho2Hg structure. The functional is PBE.

Cell lengths 5.466, 7.423, 9.784 Å; angles 112.23, 106.22, 90.00 degrees
Positions (direct):
Tb  0.000  0.746  0.000
Tb  0.364  0.127  0.728
Tb  0.636  0.873  0.272
Tb  0.815  0.814  0.630
Tb  0.185  0.186  0.370
Tb  0.000  0.254  0.000
Tb  0.365  0.601  0.730
Tb  0.635  0.399  0.270
Ho  0.192  0.692  0.384
Ho  0.808  0.308  0.616
Hg  0.500  0.000  0.000

The volume is 350.3 Å³/cell.

***

--- B ---
This record from Alexandria describes a geometry-optimized Tb8Ho2Hg structure. The functional is PBE.

Cell lengths 4.958, 7.851, 9.276 Å; angles 74.92, 105.50, 90.00 degrees
Positions (direct):
Tb  0.590  0.558  0.179
Tb  0.319  0.911  0.638
Tb  0.681  0.089  0.362
Tb  0.866  0.177  0.731
Tb  0.954  0.722  0.909
Tb  0.046  0.278  0.091
Tb  0.134  0.823  0.269
Tb  0.410  0.442  0.821
Ho  0.224  0.365  0.447
Ho  0.776  0.635  0.553
Hg  0.500  0.000  0.000

The volume is 335.0 Å³/cell.

***

The structure with the most favorable energy is B; the runner-up is 41 meV per atom above it.